(1)
TlSn2Te3, optimized geometry, DFT PBE; space-group type = C2/c (15); formation energy from raw total energies = -262 meV per atom
1.0
7.294 -3.162 0.000
7.294 3.162 0.000
-2.817 0.000 8.604
Tl Sn Te
2 4 6
direct
0.002 0.998 0.750
0.998 0.002 0.250
0.333 0.334 0.917
0.334 0.333 0.417
0.666 0.667 0.583
0.667 0.666 0.083
0.177 0.177 0.089
0.177 0.177 0.589
0.498 0.502 0.250
0.502 0.498 0.750
0.823 0.823 0.411
0.823 0.823 0.911

=====

(2)
ScTiNiOs, optimized geometry, DFT PBE; space-group type = F-43m (216); E_form = -492 meV per atom
1.0
0.000 3.126 3.126
3.126 0.000 3.126
3.126 3.126 0.000
Sc Ti Ni Os
1 1 1 1
direct
0.000 0.000 0.000
0.500 0.500 0.500
0.250 0.250 0.250
0.750 0.750 0.750

=====

(3)
TlCr2W, optimized geometry, DFT PBE; space-group type = C2/m (12); E_form = 762 meV per atom
1.0
4.581 -1.473 0.000
4.581 1.473 0.000
-0.992 0.000 4.958
Tl Cr W
1 2 1
direct
0.000 0.000 0.000
0.239 0.239 0.663
0.761 0.761 0.337
0.500 0.500 0.500